Entry 1:
Ni6HgSb | PBEsol | relaxed

a = 6.373 Å, b = 6.373 Å, c = 10.412 Å
α = 90.00°, β = 90.00°, γ = 109.17°
Element x y z (fractional)
Ni: 0.000 0.000 0.000
Ni: 0.000 0.000 0.500
Ni: 0.121 0.371 0.372
Ni: 0.121 0.371 0.628
Ni: 0.122 0.371 0.123
Ni: 0.122 0.371 0.877
Ni: 0.249 0.751 0.246
Ni: 0.249 0.751 0.754
Ni: 0.371 0.121 0.372
Ni: 0.371 0.121 0.628
Ni: 0.371 0.122 0.123
Ni: 0.371 0.122 0.877
Ni: 0.500 0.500 0.000
Ni: 0.500 0.500 0.500
Ni: 0.629 0.878 0.123
Ni: 0.629 0.878 0.877
Ni: 0.629 0.879 0.372
Ni: 0.629 0.879 0.628
Ni: 0.751 0.249 0.246
Ni: 0.751 0.249 0.754
Ni: 0.878 0.629 0.123
Ni: 0.878 0.629 0.877
Ni: 0.879 0.629 0.372
Ni: 0.879 0.629 0.628
Hg: 0.253 0.747 0.500
Hg: 0.500 0.500 0.251
Hg: 0.500 0.500 0.749
Hg: 0.747 0.253 0.500
Sb: 0.000 0.000 0.253
Sb: 0.000 0.000 0.747
Sb: 0.252 0.748 0.000
Sb: 0.748 0.252 0.000

Output
Formation energy without anion corrections: -0.02 eV/atom

Entry 2:
BeTcBi2Br | PBEsol | relaxed

a = 5.607 Å, b = 5.607 Å, c = 4.493 Å
α = 90.00°, β = 90.00°, γ = 90.00°
Element x y z (fractional)
Be: 0.000 0.000 0.000
Tc: 0.500 0.500 0.000
Bi: 0.000 0.500 0.500
Bi: 0.500 0.000 0.500
Br: 0.500 0.500 0.500

Output
Formation energy without anion corrections: 1.71 eV/atom

Entry 3:
SrTlRe2 | PBEsol | relaxed

a = 4.074 Å, b = 4.074 Å, c = 4.718 Å
α = 90.00°, β = 90.00°, γ = 90.00°
Element x y z (fractional)
Sr: 0.000 0.000 0.000
Tl: 0.500 0.500 0.000
Re: 0.000 0.500 0.500
Re: 0.500 0.000 0.500

Output
Distance to the lowest polymorph of the same formula: 500 meV/atom

| no. | total DFT energy (no corrections) (eV/atom) |
| --- | --- |
| 1 | -5.277 |
| 2 | -3.430 |
| 3 | -6.509 |